Below is a geometry-optimized Co5PdSe8 structure, with properties calculated at the PBE level.

abc: 7.062 7.062 7.062
angles: 60.00 60.00 60.00
Each line ends with the local moment (μB).
Element x y z (fractional)
Co1 0.000 0.000 0.000  0.34
Co2 0.626 0.626 0.122  0.00
Co3 0.626 0.626 0.626  0.00
Co4 0.122 0.626 0.626  0.00
Co5 0.626 0.122 0.626  0.00
Pd1 0.250 0.250 0.250  0.00
Se1 0.390 0.829 0.390  0.00
Se2 0.829 0.390 0.390  0.00
Se3 0.390 0.390 0.390  0.00
Se4 0.390 0.390 0.829  0.00
Se5 0.867 0.867 0.398  0.00
Se6 0.398 0.867 0.867  0.00
Se7 0.867 0.867 0.867  0.00
Se8 0.867 0.398 0.867  0.00

Summary:
SG ... F-43m (216)
Magnetization ... 0.340 μB/cell
Formation energy without anion corrections ... -407 kJ/mol of formula units
Theoretical density ... 6.89 Mg/m³